No. 1
# Hf4NbPt

A relaxed Hf4NbPt crystal (PBE-GGA, the Alexandria database).

Properties
spin magnetization: 0.000 μB/atom
E_form: -1.5 eV/f.u.
space group: C2/c

abc: 7.3521 7.3521 5.4574
angles: 101.67 101.67 112.64
Fractional positions:
Hf: 0.0621 0.6928 0.9256
Hf: 0.2120 0.3787 0.6598
Hf: 0.3072 0.9379 0.5744
Hf: 0.3787 0.2120 0.1598
Hf: 0.6213 0.7880 0.8402
Hf: 0.6928 0.0621 0.4256
Hf: 0.7880 0.6213 0.3402
Hf: 0.9379 0.3072 0.0744
Nb: 0.3845 0.6155 0.2500
Nb: 0.6155 0.3845 0.7500
Pt: 0.0021 0.9979 0.2500
Pt: 0.9979 0.0021 0.7500

***

No. 2
# Hf6NbPt

A relaxed Hf6NbPt crystal (PBE-GGA, the Alexandria database).

Properties
spin magnetization: 0.000 μB/atom
E_form: 2.7 eV/f.u.
relative energy among the computed polymorphs: 0.557 eV per atom
space group: P-1

abc: 5.8217 5.8229 7.5663
angles: 67.38 89.95 60.03
Fractional positions:
Hf: 0.0366 0.0291 0.2876
Hf: 0.1827 0.3527 0.7124
Hf: 0.4354 0.2484 0.2871
Hf: 0.5646 0.7516 0.7129
Hf: 0.8173 0.6473 0.2876
Hf: 0.9634 0.9709 0.7124
Nb: 0.5000 0.5000 0.5000
Pt: 0.0000 0.5000 0.0000

***

No. 3
# HfNbPt2

A relaxed HfNbPt2 crystal (PBE-GGA, the Alexandria database).

Properties
spin magnetization: 0.000 μB/atom
E_form: -3.1 eV/f.u.
space group: P4/mmm

abc: 4.0712 4.0712 4.1261
angles: 90.00 90.00 90.00
Fractional positions:
Hf: 0.0000 0.0000 0.0000
Nb: 0.5000 0.5000 0.0000
Pt: 0.0000 0.5000 0.5000
Pt: 0.5000 0.0000 0.5000

***

No. 4
# Hf4Nb2Pt

A relaxed Hf4Nb2Pt crystal (PBE-GGA, the Alexandria database).

Properties
spin magnetization: 0.000 μB/atom
E_form: -1.4 eV/f.u.
relative energy among the computed polymorphs: 0.000 eV per atom
space group: I4/mmm

abc: 7.6042 7.6042 7.6042
angles: 144.46 144.46 51.14
Fractional positions:
Hf: 0.1186 0.6186 0.5000
Hf: 0.3814 0.8814 0.5000
Hf: 0.6186 0.1186 0.5000
Hf: 0.8814 0.3814 0.5000
Nb: 0.2476 0.2476 0.0000
Nb: 0.7524 0.7524 0.0000
Pt: 0.0000 0.0000 0.0000

***

No. 5
# Hf4Nb2Pt

A relaxed Hf4Nb2Pt crystal (PBE-GGA, the Alexandria database).

Properties
spin magnetization: 0.000 μB/atom
E_form: 4.8 eV/f.u.
relative energy among the computed polymorphs: 0.876 eV per atom
space group: I4/mmm

abc: 7.5677 7.5677 7.5677
angles: 140.65 140.65 56.87
Fractional positions:
Hf: 0.0000 0.5000 0.5000
Hf: 0.1958 0.1958 0.0000
Hf: 0.5000 0.0000 0.5000
Hf: 0.8042 0.8042 0.0000
Nb: 0.3987 0.3987 0.0000
Nb: 0.6013 0.6013 0.0000
Pt: 0.0000 0.0000 0.0000

***

No. 6
# Hf2Nb2Pt

A relaxed Hf2Nb2Pt crystal (PBE-GGA, the Alexandria database).

Properties
spin magnetization: 0.000 μB/atom
E_form: -0.2 eV/f.u.
relative energy among the computed polymorphs: 0.000 eV per atom
space group: P4/mbm

abc: 6.8981 6.8981 4.2178
angles: 90.00 90.00 90.00
Fractional positions:
Hf: 0.1681 0.3319 0.0000
Hf: 0.3319 0.8319 0.0000
Hf: 0.6681 0.1681 0.0000
Hf: 0.8319 0.6681 0.0000
Nb: 0.1376 0.6376 0.5000
Nb: 0.3624 0.1376 0.5000
Nb: 0.6376 0.8624 0.5000
Nb: 0.8624 0.3624 0.5000
Pt: 0.0000 0.0000 0.5000
Pt: 0.5000 0.5000 0.5000

***

No. 7
# Hf2Nb2Pt

A relaxed Hf2Nb2Pt crystal (PBE-GGA, the Alexandria database).

Properties
spin magnetization: 0.000 μB/atom
E_form: 3.3 eV/f.u.
relative energy among the computed polymorphs: 0.697 eV per atom
space group: I4/mmm

abc: 7.2430 7.2430 7.2430
angles: 148.32 148.32 45.41
Fractional positions:
Hf: 0.2500 0.7500 0.5000
Hf: 0.7500 0.2500 0.5000
Nb: 0.0876 0.0876 0.0000
Nb: 0.9124 0.9124 0.0000
Pt: 0.5000 0.5000 0.0000

***

No. 8
# HfNbPt2

A relaxed HfNbPt2 crystal (PBE-GGA, the Alexandria database).

Properties
spin magnetization: 0.000 μB/atom
E_form: -1.4 eV/f.u.
space group: I-42d

abc: 5.8906 5.8906 5.8906
angles: 103.16 103.16 123.01
Fractional positions:
Hf: 0.0000 0.0000 0.0000
Hf: 0.7500 0.2500 0.5000
Nb: 0.2500 0.7500 0.5000
Nb: 0.5000 0.5000 0.0000
Pt: 0.1297 0.6250 0.0047
Pt: 0.3750 0.3797 0.5047
Pt: 0.6203 0.1250 0.9953
Pt: 0.8750 0.8703 0.4953

***

No. 9
# Hf2ScNbPt

A relaxed Hf2ScNbPt crystal (PBE-GGA, the Alexandria database).

Properties
spin magnetization: 0.000 μB/atom
E_form: 3.3 eV/f.u.
space group: P4/mmm

abc: 4.9979 4.9979 4.9678
angles: 90.00 90.00 90.00
Fractional positions:
Hf: 0.0000 0.5000 0.0000
Hf: 0.5000 0.0000 0.0000
Sc: 0.0000 0.0000 0.5000
Nb: 0.5000 0.5000 0.0000
Pt: 0.5000 0.5000 0.5000

***

No. 10
# HfTaNbPt2

A relaxed HfTaNbPt2 crystal (PBE-GGA, the Alexandria database).

Properties
spin magnetization: 0.000 μB/atom
E_form: 3.9 eV/f.u.
space group: P4/mmm

abc: 4.8422 4.8422 4.7899
angles: 90.00 90.00 90.00
Fractional positions:
Hf: 0.0000 0.0000 0.0000
Ta: 0.5000 0.5000 0.5000
Nb: 0.5000 0.5000 0.0000
Pt: 0.0000 0.5000 0.5000
Pt: 0.5000 0.0000 0.5000

***

No. 11
# HfTiNbPt

A relaxed HfTiNbPt crystal (PBE-GGA, the Alexandria database).

Properties
spin magnetization: 0.000 μB/atom
E_form: -2.2 eV/f.u.
relative energy among the computed polymorphs: 0.000 eV per atom
space group: P4mm

abc: 3.2957 3.2957 6.5479
angles: 90.00 90.00 90.00
Fractional positions:
Hf: 0.0000 0.0000 0.0000
Ti: 0.0000 0.0000 0.4942
Nb: 0.5000 0.5000 0.7302
Pt: 0.5000 0.5000 0.2508

***

No. 12
# HfTiNbPt

A relaxed HfTiNbPt crystal (PBE-GGA, the Alexandria database).

Properties
spin magnetization: 0.000 μB/atom
E_form: -2.1 eV/f.u.
relative energy among the computed polymorphs: 0.039 eV per atom
space group: F-43m

abc: 4.6104 4.6104 4.6104
angles: 60.00 60.00 60.00
Fractional positions:
Hf: 0.0000 0.0000 0.0000
Ti: 0.5000 0.5000 0.5000
Nb: 0.7500 0.7500 0.7500
Pt: 0.2500 0.2500 0.2500

***

Copy entry 6 word for word.
# Hf2Nb2Pt

A relaxed Hf2Nb2Pt crystal (PBE-GGA, the Alexandria database).

Properties
spin magnetization: 0.000 μB/atom
E_form: -0.2 eV/f.u.
relative energy among the computed polymorphs: 0.000 eV per atom
space group: P4/mbm

abc: 6.8981 6.8981 4.2178
angles: 90.00 90.00 90.00
Fractional positions:
Hf: 0.1681 0.3319 0.0000
Hf: 0.3319 0.8319 0.0000
Hf: 0.6681 0.1681 0.0000
Hf: 0.8319 0.6681 0.0000
Nb: 0.1376 0.6376 0.5000
Nb: 0.3624 0.1376 0.5000
Nb: 0.6376 0.8624 0.5000
Nb: 0.8624 0.3624 0.5000
Pt: 0.0000 0.0000 0.5000
Pt: 0.5000 0.5000 0.5000

***

> E_form of number 8 (HfNbPt2)?

-1.4 eV/f.u.